# Al2AgAu SCAN single point on PBEsol structure
data_Al2AgAu
_space_group_name_H-M_alt 'C 1 2/m 1'
_space_group_IT_number 12
_cell_length_a 8.6332
_cell_length_b 2.9912
_cell_length_c 5.1275
_cell_angle_alpha 90.00
_cell_angle_beta 101.06
_cell_angle_gamma 90.00
loop_
_space_group_symop_operation_xyz
'x,y,z'
'-x,-y,-z'
'-x,y,-z'
'x,-y,z'
'x+1/2,y+1/2,z'
'-x+1/2,-y+1/2,-z'
'-x+1/2,y+1/2,-z'
'x+1/2,-y+1/2,z'
loop_
_atom_site_label
_atom_site_fract_x
_atom_site_fract_y
_atom_site_fract_z
_atom_site_occupancy
Al1 0.2473 0.0000 0.2444 1
Ag1 0.0000 0.0000 0.5000 1
Au1 0.0000 0.5000 0.0000 1
# E_tot ... -29.29 eV per atom
# Magnetization ... 0.00 μB per cell
# Density of states at the Fermi level ... 1.3 states/eV/f.u.